Below is MgPb2Cl after structural relaxation, with properties calculated at the PBE level.

Cell lengths 4.439, 4.439, 5.788 Å; angles 90.00, 90.00, 90.00 degrees
Positions (direct):
Mg 0.000 0.000 0.000
Pb 0.000 0.500 0.500
Pb 0.500 0.000 0.500
Cl 0.500 0.500 0.000

E_tot: -0.106 Ha/atom
raw formation energy: -0.157 eV per atom
crystal system: tetragonal
symmetry: No. 123
offset from the most stable computed form: 0.339 eV per atom